No. 1
# PBE Be3Os, optimized geometry
# Calculated formation energy, meV/atom: -171
# Density, g/cm3: 9.05
# Spin magnetization, μB/atom: 0.000
data_Be3Os
_cell_length_a 7.367
_cell_length_b 6.107
_cell_length_c 3.545
_cell_angle_alpha 90.00
_cell_angle_beta 90.00
_cell_angle_gamma 90.00
_space_group_name_H-M_alt 'C m c m'
_space_group_IT_number 63
_space_group_name_Hall '-C 2c 2'
loop_
_atom_site_label
_atom_site_fract_x
_atom_site_fract_y
_atom_site_fract_z
Be1 0.000 0.076 0.250
Be2 0.220 0.360 0.250
Os1 0.000 0.325 0.750

***

No. 2
# PBE Ba2AlCd2Au4, optimized geometry
# Calculated formation energy, meV/atom: -493
# Density, g/cm3: 9.20
# Spin magnetization, μB/atom: 0.000
data_Ba2AlCd2Au4
_cell_length_a 7.245
_cell_length_b 7.245
_cell_length_c 9.042
_cell_angle_alpha 90.00
_cell_angle_beta 90.00
_cell_angle_gamma 90.00
_space_group_name_H-M_alt 'I 4/m m m'
_space_group_IT_number 139
_space_group_name_Hall '-I 4 2'
loop_
_atom_site_label
_atom_site_fract_x
_atom_site_fract_y
_atom_site_fract_z
Ba1 0.000 0.500 0.250
Al1 0.000 0.000 0.000
Cd1 0.000 0.000 0.328
Au1 0.248 0.248 0.500

***

No. 3
# PBE Tb7Nd2Y3, optimized geometry
# Energy above the most stable polymorph in this dataset, meV per atom: 0
# Calculated formation energy, meV/atom: 72
# Density, g/cm3: 7.03
# Spin magnetization, μB/atom: 0.000
data_Tb7Nd2Y3
_cell_length_a 6.376
_cell_length_b 3.540
_cell_length_c 17.547
_cell_angle_alpha 90.00
_cell_angle_beta 96.06
_cell_angle_gamma 90.00
_space_group_name_H-M_alt 'P 1 2/m 1'
_space_group_IT_number 10
loop_
_space_group_symop_operation_xyz
'x,y,z'
'-x,-y,-z'
'-x,y,-z'
'x,-y,z'
loop_
_atom_site_label
_atom_site_fract_x
_atom_site_fract_y
_atom_site_fract_z
Tb1 0.000 0.000 0.000
Tb2 0.227 0.500 0.167
Tb3 0.257 0.500 0.499
Tb4 0.274 0.000 0.836
Nd1 0.058 0.500 0.672
Y1 0.453 0.000 0.342
Y2 0.500 0.500 0.000

***

No. 4
# PBE BeTlZn, optimized geometry
# Energy above the most stable polymorph in this dataset, meV per atom: 176
# Calculated formation energy, meV/atom: 453
# Density, g/cm3: 8.19
# Spin magnetization, μB/atom: 0.000
data_BeTlZn
_cell_length_a 3.120
_cell_length_b 3.120
_cell_length_c 11.614
_cell_angle_alpha 90.00
_cell_angle_beta 90.00
_cell_angle_gamma 90.00
_space_group_name_H-M_alt 'I 4 m m'
_space_group_IT_number 107
_space_group_name_Hall 'I 4 -2'
loop_
_atom_site_label
_atom_site_fract_x
_atom_site_fract_y
_atom_site_fract_z
Be1 0.000 0.000 0.000
Tl1 0.000 0.000 0.294
Zn1 0.000 0.000 0.569

***

No. 5
# PBE YAl2I, optimized geometry
# Energy above the most stable polymorph in this dataset, meV per atom: 149
# Density, g/cm3: 4.22
# Energy relative to the elements, uncorrected, eV/atom: 0.334
# Spin magnetization, μB/atom: 0.000
data_YAl2I
_cell_length_a 7.516
_cell_length_b 7.516
_cell_length_c 7.516
_cell_angle_alpha 90.00
_cell_angle_beta 90.00
_cell_angle_gamma 90.00
_space_group_name_H-M_alt 'F m -3 m'
_space_group_IT_number 225
_space_group_name_Hall '-F 4 2 3'
loop_
_atom_site_label
_atom_site_fract_x
_atom_site_fract_y
_atom_site_fract_z
Y1 0.000 0.000 0.000
Al1 0.250 0.250 0.250
I1 0.000 0.000 0.500

***

No. 6
# PBE Ac2NdZn3Pd4, optimized geometry
# Calculated formation energy, meV/atom: -636
# Density, g/cm3: 8.90
# Spin magnetization, μB/atom: 0.000
data_Ac2NdZn3Pd4
_cell_length_a 4.486
_cell_length_b 4.486
_cell_length_c 11.317
_cell_angle_alpha 90.00
_cell_angle_beta 90.00
_cell_angle_gamma 90.00
_space_group_name_H-M_alt 'P -4 m 2'
_space_group_IT_number 115
loop_
_space_group_symop_operation_xyz
'x,y,z'
'y,-x,-z'
'-x,-y,z'
'-y,x,-z'
'-x,y,z'
'-y,-x,-z'
'x,-y,z'
'y,x,-z'
loop_
_atom_site_label
_atom_site_fract_x
_atom_site_fract_y
_atom_site_fract_z
Ac1 0.000 0.500 0.218
Nd1 0.000 0.000 0.500
Zn1 0.000 0.500 0.889
Zn2 0.500 0.500 0.500
Pd1 0.000 0.000 0.000
Pd2 0.000 0.500 0.661
Pd3 0.500 0.500 0.000

***

No. 7
# PBE PaPdPt, optimized geometry
# Energy above the most stable polymorph in this dataset, meV per atom: 0
# Calculated formation energy, meV/atom: -714
# Density, g/cm3: 14.50
# Spin magnetization, μB/atom: 0.000
data_PaPdPt
_cell_length_a 4.980
_cell_length_b 7.293
_cell_length_c 6.717
_cell_angle_alpha 90.00
_cell_angle_beta 90.00
_cell_angle_gamma 90.00
_space_group_name_H-M_alt 'C m c m'
_space_group_IT_number 63
_space_group_name_Hall '-C 2c 2'
loop_
_atom_site_label
_atom_site_fract_x
_atom_site_fract_y
_atom_site_fract_z
Pa1 0.000 0.000 0.000
Pd1 0.000 0.319 0.250
Pt1 0.000 0.312 0.750

***

No. 8
# PBE FeAs3, optimized geometry
# Energy above the most stable polymorph in this dataset, meV per atom: 106
# Calculated formation energy, meV/atom: 153
# Density, g/cm3: 6.87
# Spin magnetization, μB/atom: 0.079
data_FeAs3
_cell_length_a 2.845
_cell_length_b 2.845
_cell_length_c 8.388
_cell_angle_alpha 90.00
_cell_angle_beta 90.00
_cell_angle_gamma 90.00
_space_group_name_H-M_alt 'P 4/m m m'
_space_group_IT_number 123
_space_group_name_Hall '-P 4 2'
loop_
_atom_site_label
_atom_site_fract_x
_atom_site_fract_y
_atom_site_fract_z
Fe1 0.000 0.000 0.000
As1 0.000 0.000 0.500
As2 0.500 0.500 0.180

***

No. 9
# PBE TbZnPd5, optimized geometry
# Energy above the most stable polymorph in this dataset, meV per atom: 0
# Calculated formation energy, meV/atom: -554
# Density, g/cm3: 10.29
# Spin magnetization, μB/atom: 0.000
data_TbZnPd5
_cell_length_a 4.159
_cell_length_b 4.159
_cell_length_c 7.054
_cell_angle_alpha 90.00
_cell_angle_beta 90.00
_cell_angle_gamma 90.00
_space_group_name_H-M_alt 'P 4/m m m'
_space_group_IT_number 123
_space_group_name_Hall '-P 4 2'
loop_
_atom_site_label
_atom_site_fract_x
_atom_site_fract_y
_atom_site_fract_z
Tb1 0.000 0.000 0.000
Zn1 0.500 0.500 0.500
Pd1 0.000 0.500 0.287
Pd2 0.500 0.500 0.000

***

No. 10
# PBE Cs3HgI6, optimized geometry
# Energy above the most stable polymorph in this dataset, meV per atom: 0
# Density, g/cm3: 3.77
# Energy relative to the elements, uncorrected, eV/atom: -1.016
# Spin magnetization, μB/atom: 0.000
data_Cs3HgI6
_cell_length_a 16.584
_cell_length_b 21.229
_cell_length_c 6.812
_cell_angle_alpha 90.00
_cell_angle_beta 90.00
_cell_angle_gamma 90.00
_space_group_name_H-M_alt 'C m c 21'
_space_group_IT_number 36
loop_
_space_group_symop_operation_xyz
'x,y,z'
'-x,-y,z+1/2'
'-x,y,z'
'x,-y,z+1/2'
'x+1/2,y+1/2,z'
'-x+1/2,-y+1/2,z+1/2'
'-x+1/2,y+1/2,z'
'x+1/2,-y+1/2,z+1/2'
loop_
_atom_site_label
_atom_site_fract_x
_atom_site_fract_y
_atom_site_fract_z
Cs1 0.000 0.118 0.000
Cs2 0.183 0.380 0.030
Hg1 0.000 0.297 0.600
I1 0.000 0.287 0.185
I2 0.000 0.427 0.696
I3 0.145 0.231 0.711
I4 0.161 0.001 0.267

***

No. 11
# PBE CsBiI2, optimized geometry
# Energy above the most stable polymorph in this dataset, meV per atom: 0
# Density, g/cm3: 4.06
# Energy relative to the elements, uncorrected, eV/atom: -0.540
# Spin magnetization, μB/atom: 0.000
data_CsBiI2
_cell_length_a 7.019
_cell_length_b 7.019
_cell_length_c 19.773
_cell_angle_alpha 90.00
_cell_angle_beta 90.00
_cell_angle_gamma 90.00
_space_group_name_H-M_alt 'I -4 2 d'
_space_group_IT_number 122
_space_group_name_Hall 'I -4 2bw'
loop_
_atom_site_label
_atom_site_fract_x
_atom_site_fract_y
_atom_site_fract_z
Cs1 0.000 0.000 0.000
Bi1 0.000 0.000 0.500
I1 0.156 0.250 0.625

***

No. 12
# PBE K2VAsBr, optimized geometry
# Density, g/cm3: 2.39
# Energy relative to the elements, uncorrected, eV/atom: -0.345
# Spin magnetization, μB/atom: 0.600
data_K2VAsBr
_cell_length_a 6.433
_cell_length_b 6.433
_cell_length_c 4.777
_cell_angle_alpha 90.00
_cell_angle_beta 90.00
_cell_angle_gamma 90.00
_space_group_name_H-M_alt 'P 4/m m m'
_space_group_IT_number 123
_space_group_name_Hall '-P 4 2'
loop_
_atom_site_label
_atom_site_fract_x
_atom_site_fract_y
_atom_site_fract_z
K1 0.000 0.500 0.000
V1 0.000 0.000 0.500
As1 0.000 0.000 0.000
Br1 0.500 0.500 0.500

***

Question: spin magnetization of number 12 (K2VAsBr)?
Answer: 0.600 μB/atom

***

Question: Look up the spin magnetization of the first one.
Answer: 0.000 μB/atom

***

Question: The highest spin magnetization belongs to which entry?
Answer: K2VAsBr

***

Question: Which value of spin magnetization does entry 3 give?
Answer: 0.000 μB/atom